This record from Alexandria describes a relaxed TbGdSnRh crystal. The functional is PBE.

- energy relative to the elements (meV/atom) = -638

Unit cell a=5.138 b=5.138 c=5.138 alpha=60.00 beta=60.00 gamma=60.00
Each line ends with the local moment (μB).
Fractional coordinates of all 4 atoms:
Gd: 0.000 0.000 0.000  7.00
Sn: 0.250 0.250 0.250  -0.01
Tb: 0.500 0.500 0.500  -0.01
Rh: 0.750 0.750 0.750  -0.03

---

This record from Alexandria describes a relaxed CuH2Cl2O crystal. The functional is PBE.

Unit cell a=5.696 b=6.872 c=6.445 alpha=122.21 beta=90.00 gamma=90.00
Each line ends with the local moment (μB).
Fractional coordinates of all 12 atoms:
Cl: 0.639 0.164 0.698  0.19
Cl: 0.139 0.534 0.698  0.19
Cl: 0.639 0.466 0.302  0.19
Cl: 0.139 0.836 0.302  0.19
O: 0.707 0.820 0.000  0.00
O: 0.207 0.180 0.000  0.00
Cu: 0.375 0.732 0.000  0.48
Cu: 0.875 0.268 0.000  0.48
H: 0.306 0.289 0.142  0.00
H: 0.306 0.147 0.858  0.00
H: 0.806 0.711 0.858  0.00
H: 0.806 0.853 0.142  0.00

---

| no. | calculated total energy (eV/atom) |
| --- | --- |
| 1 | -8.155 |
| 2 | -3.888 |